No. 1
# CdCu2Os

Crystalline CdCu2Os at its relaxed geometry (PBE-GGA, the Alexandria database).

Results
**Space group**: Pmm2

Cell lengths 2.6649, 3.9715, 5.5665 Å; angles 90.00, 90.00, 90.00 degrees
Fractional positions:
Cd (0.5000, 0.5000, 0.7601)
Cu (0.0000, 0.0000, 0.0130)
Cu (0.5000, 0.5000, 0.2542)
Os (0.0000, 0.0000, 0.4726)

No. 2
# CdCu2Os

Crystalline CdCu2Os at its relaxed geometry (PBE-GGA, the Alexandria database).

Results
**Space group**: Pm

Cell lengths 4.2819, 2.6573, 5.2814 Å; angles 75.44, 90.00, 90.00 degrees
Fractional positions:
Cd (0.5000, 0.7995, 0.7745)
Cu (0.0000, 0.1855, 0.0022)
Cu (0.5000, 0.0568, 0.2642)
Os (0.0000, 0.4583, 0.4591)

| no. | raw total energy (eV/atom) | ΔH_f (0 K) (kJ/mol of atoms) |
| --- | --- | --- |
| 1 | -4.6503 | 42 |
| 2 | -4.7018 | 37 |